1.
Density functional theory data (PBE) for Rb3Cu2Cl9 after structural relaxation.

abc: 6.9421 6.9421 8.7399
angles: 90.00 90.00 120.00
Closest atoms and distances in Å follow each position.
Atoms (fractional coordinates):
Cu 0.6667 0.3333 0.1645  6 Cl 2.31-2.47
Cu 0.3333 0.6667 0.8355  6 Cl 2.31-2.47
Cl 0.8265 0.6531 0.3111  1 Cu 2.31
Cl 0.6531 0.8265 0.6889  1 Cu 2.31
Cl 0.1735 0.8265 0.6889  1 Cu 2.31
Rb 0.6667 0.3333 0.6518  12 Cl 3.49-3.64
Cl 0.5000 0.0000 0.0000  2 Cu 2.47
Cl 0.5000 0.5000 0.0000  2 Cu 2.47
Cl 0.8265 0.1735 0.3111  1 Cu 2.31
Cl 0.1735 0.3469 0.6889  1 Cu 2.31
Rb 0.0000 0.0000 0.0000  12 Cl 3.43-3.47
Rb 0.3333 0.6667 0.3482  12 Cl 3.49-3.64
Cl 0.3469 0.1735 0.3111  1 Cu 2.31
Cl 0.0000 0.5000 0.0000  2 Cu 2.47

Results
Its theoretical density is 3.2 Mg/m³. The space group is No. 164. For the final energy, the calculation gives -3.01 eV per atom. For the volume, the calculation gives 364.8 Å³/cell.

2.
Density functional theory data (PBE) for TcTe2IrI after structural relaxation.

abc: 5.2555 5.2555 5.4152
angles: 90.00 90.00 90.00
Closest atoms and distances in Å follow each position.
Atoms (fractional coordinates):
Ir 0.0000 0.0000 0.0000  4 Te 2.63, 2 I 2.71
Te 0.5000 0.0000 0.0000  2 Ir 2.63
I 0.0000 0.0000 0.5000  2 Ir 2.71
Tc 0.5000 0.5000 0.5000  4 I 3.72, 8 Te 3.77
Te 0.0000 0.5000 0.0000  2 Ir 2.63

Results
Its theoretical density is 7.5 Mg/m³. The space group is No. 123. For the final energy, the calculation gives -4.27 eV per atom. For the volume, the calculation gives 149.6 Å³/cell. Its energy above the most stable polymorph in this dataset is 0.000 eV per atom.

3.
Density functional theory data (PBE) for MgTiOs2C after structural relaxation.

abc: 4.4525 4.5820 4.4525
angles: 90.00 90.00 90.00
Closest atoms and distances in Å follow each position.
Atoms (fractional coordinates):
Os 0.5000 0.0000 0.0000  2 Mg 2.23
Os 0.0000 0.0000 0.5000  2 Mg 2.23
C 0.5000 0.5000 0.5000  4 Ti 3.15, 8 Os 3.19
Mg 0.0000 0.0000 0.0000  4 Os 2.23, 2 Ti 2.29
Ti 0.0000 0.5000 0.0000  2 Mg 2.29

Results
Its theoretical density is 8.5 Mg/m³. The space group is No. 123. For the final energy, the calculation gives -5.09 eV per atom. For the volume, the calculation gives 90.8 Å³/cell. Its formation energy is 3.15 eV/atom. Its energy above the most stable polymorph in this dataset is 1.035 eV per atom.

4.
Density functional theory data (PBE) for TbHoGe2 after structural relaxation.

abc: 3.2145 5.3151 5.3151
angles: 90.00 90.00 90.00
Closest atoms and distances in Å follow each position.
Atoms (fractional coordinates):
Tb 0.5000 0.0000 0.0000  8 Ge 3.11, 2 Tb 3.21
Ho 0.5000 0.5000 0.5000  8 Ge 3.11, 2 Ho 3.21
Ge 0.0000 0.0000 0.5000  4 Tb 3.11, 4 Ho 3.11, 2 Ge 3.21
Ge 0.0000 0.5000 0.0000  4 Tb 3.11, 4 Ho 3.11, 2 Ge 3.21

Results
Its theoretical density is 8.6 Mg/m³. The space group is No. 123. For the final energy, the calculation gives -5.22 eV per atom. For the volume, the calculation gives 90.8 Å³/cell. Its formation energy is -0.61 eV/atom. Its energy above the most stable polymorph in this dataset is 0.261 eV per atom.